[1]
# Co2HgSe2

Co2HgSe2 after structural relaxation (PBEsol, the Alexandria database).

It has space group I4/mmm (No. 139), with a = 3.542 Å, b = 3.542 Å, c = 15.372 Å, α = 90.00°, β = 90.00° and γ = 90.00°. The distinct sites, in fractional coordinates, are Co at (0.000, 0.500, 0.250), Hg at (0.000, 0.000, 0.000) and Se at (0.000, 0.000, 0.344).

The value obtained for the total magnetic moment is 0.0 μB per formula unit. Its formation energy without anion corrections is -195 meV/atom.

***

[2]
# CoHgSe2

CoHgSe2 after structural relaxation (PBEsol, the Alexandria database).

It has space group R-3m (No. 166, hexagonal axes), with a = 3.4459 Å, b = 3.4459 Å, c = 22.5749 Å, α = 90.00°, β = 90.00° and γ = 120.00°. The distinct sites, in fractional coordinates, are Co at (0.0000, 0.0000, 0.0000), Hg at (0.0000, 0.0000, 0.5000) and Se at (0.0000, 0.0000, 0.2783).

The value obtained for the total magnetic moment is 0.0 μB per formula unit. Its formation energy without anion corrections is -219 meV/atom.

***

total magnetic moment of number 2 (CoHgSe2)? 0.0 μB per formula unit